! Pm2Nd3Hg6 | the Alexandria database | PBE-GGA | optimized geometry; values from VASP
! - D(E_F): 0.996 states/eV/atom
! - Symmetry: No. 139
! - Energy of formation from the pure elements: -1.3 eV per formula unit
! - Total moment: 0.6 μB/cell
&SYSTEM
  ibrav = 0, nat = 11, ntyp = 3
/
ATOMIC_SPECIES
Pm 145.00 Pm.upf
Nd 144.24 Nd.upf
Hg 200.59 Hg.upf
CELL_PARAMETERS angstrom
-3.460 3.718 -0.970
0.180 -1.147 -5.039
-8.621 -10.392 4.710
ATOMIC_POSITIONS angstrom
Pm -7.587 -6.733 1.261
Pm -4.314 -1.088 -2.560
Nd 0.000 0.000 0.000
Nd -9.050 -5.291 -1.772
Nd -2.851 -2.530 0.474
Hg -1.283 -1.792 -2.291
Hg -3.104 0.640 -0.257
Hg -10.618 -6.029 0.993
Hg -8.798 -8.461 -1.042
Hg -6.673 -3.181 -2.168
Hg -5.229 -4.640 0.869